Entry 1:
DFT (PBE) results for a geometry-optimized Li4U3SiN8 structure.

The structure in CIF format:
```
data_Li4U3SiN8
_cell_length_a 11.5555
_cell_length_b 6.3863
_cell_length_c 6.1821
_cell_angle_alpha 90.00
_cell_angle_beta 118.39
_cell_angle_gamma 90.00
_symmetry_space_group_name_H-M 'C 1 2/m 1'
_symmetry_Int_Tables_number 12
_symmetry_space_group_name_Hall '-C 2y'
loop_
_atom_site_label
_atom_site_fract_x
_atom_site_fract_y
_atom_site_fract_z
_atom_site_occupancy
Li1 0.0000 0.0000 0.0000 1
Li2 0.0000 0.5000 0.0000 1
Li3 0.2500 0.2500 0.5000 1
U1 0.0000 0.0000 0.5000 1
U2 0.2500 0.2500 0.0000 1
Si1 0.0000 0.5000 0.5000 1
N1 0.0281 0.2895 0.7305 1
N2 0.2108 0.0000 0.1879 1
N3 0.2204 0.0000 0.7266 1
```

=====

Entry 2:
DFT (PBE) results for a geometry-optimized Li3U3SiN8 structure.

The structure in CIF format:
```
data_Li3U3SiN8
_cell_length_a 10.4548
_cell_length_b 6.8828
_cell_length_c 6.4674
_cell_angle_alpha 90.00
_cell_angle_beta 123.37
_cell_angle_gamma 90.00
_symmetry_space_group_name_H-M 'C 1 2/m 1'
_symmetry_Int_Tables_number 12
_symmetry_space_group_name_Hall '-C 2y'
loop_
_atom_site_label
_atom_site_fract_x
_atom_site_fract_y
_atom_site_fract_z
_atom_site_occupancy
Li1 0.0000 0.0000 0.0000 1
Li2 0.2500 0.2500 0.5000 1
U1 0.0000 0.5000 0.5000 1
U2 0.2500 0.2500 0.0000 1
Si1 0.0000 0.0000 0.5000 1
N1 0.0142 0.2517 0.7318 1
N2 0.2036 0.0000 0.7133 1
N3 0.2423 0.5000 0.7704 1
```

=====

Here are the calculated raw total energy numbers, same order: -7.96; -8.27 (eV/atom).